1.
# PRu, optimized geometry, DFT PBE
data_PRu
_chemical_formula_sum 'P4 Ru4'
_space_group_name_H-M_alt 'F -4 3 m'
_space_group_IT_number 216
_space_group_name_Hall 'F -4 2 3'
_cell_length_a 5.2149
_cell_length_b 5.2149
_cell_length_c 5.2149
_cell_angle_alpha 90.00
_cell_angle_beta 90.00
_cell_angle_gamma 90.00
loop_
_atom_site_label
_atom_site_type_symbol
_atom_site_fract_x
_atom_site_fract_y
_atom_site_fract_z
P1 P 0.0000 0.0000 0.0000
Ru1 Ru 0.2500 0.2500 0.7500
# calculated formation energy	-0.2850	eV/atom
# E above lowest polymorph	53	kJ/mol of formula units
# raw total energy	-7.63	eV/atom
# density of states at the Fermi level	0.59	states/eV/atom


2.
# YIr3, optimized geometry, DFT PBE
data_YIr3
_chemical_formula_sum 'Y2 Ir6'
_space_group_name_H-M_alt 'C m m m'
_space_group_IT_number 65
_space_group_name_Hall '-C 2 2'
_cell_length_a 5.7752
_cell_length_b 7.8514
_cell_length_c 2.9372
_cell_angle_alpha 90.00
_cell_angle_beta 90.00
_cell_angle_gamma 90.00
loop_
_atom_site_label
_atom_site_type_symbol
_atom_site_fract_x
_atom_site_fract_y
_atom_site_fract_z
Y1 Y 0.0000 0.0000 0.0000
Ir1 Ir 0.0000 0.5000 0.0000
Ir2 Ir 0.2500 0.2500 0.5000
# calculated formation energy	-0.2514	eV/atom
# raw total energy	-8.51	eV/atom
# density of states at the Fermi level	0.92	states/eV/atom


3.
# Ca5TlCd2, optimized geometry, DFT PBE
data_Ca5TlCd2
_chemical_formula_sum 'Ca20 Tl4 Cd8'
_space_group_name_H-M_alt 'I 4/m c m'
_space_group_IT_number 140
_space_group_name_Hall '-I 4 2c'
_cell_length_a 8.2529
_cell_length_b 8.2529
_cell_length_c 15.2975
_cell_angle_alpha 90.00
_cell_angle_beta 90.00
_cell_angle_gamma 90.00
loop_
_atom_site_label
_atom_site_type_symbol
_atom_site_fract_x
_atom_site_fract_y
_atom_site_fract_z
Ca1 Ca 0.0000 0.0000 0.0000
Ca2 Ca 0.1691 0.3309 0.1495
Tl1 Tl 0.0000 0.0000 0.2500
Cd1 Cd 0.1258 0.3742 0.5000
# calculated formation energy	-0.3033	eV/atom
# raw total energy	-2.08	eV/atom
# density of states at the Fermi level	0.98	states/eV/atom